No. 1
## NbNiBr2 (PBE)

Data for an optimized crystal structure of NbNiBr2.

Output
**E_form (uncorrected)**: 470.4 meV per atom
**Energy above the lowest structure with this stoichiometry**: 0.125 eV/atom

The structure in CIF format:
```
data_NbNiBr2
_cell_length_a 5.934
_cell_length_b 5.934
_cell_length_c 10.727
_cell_angle_alpha 90.00
_cell_angle_beta 90.00
_cell_angle_gamma 90.00
_symmetry_space_group_name_H-M 'I -4 2 d'
_symmetry_Int_Tables_number 122
_symmetry_space_group_name_Hall 'I -4 2bw'
loop_
_atom_site_label
_atom_site_type_symbol
_atom_site_fract_x
_atom_site_fract_y
_atom_site_fract_z
Nb1 Nb 0.000 0.000 0.000
Ni1 Ni 0.000 0.000 0.500
Br1 Br 0.212 0.250 0.625
```

=====

No. 2
## NbNiBr2 (PBE)

Data for an optimized crystal structure of NbNiBr2.

Output
**E_form (uncorrected)**: 345.5 meV per atom
**Energy above the lowest structure with this stoichiometry**: 0.000 eV/atom

The structure in CIF format:
```
data_NbNiBr2
_cell_length_a 3.3861
_cell_length_b 3.3861
_cell_length_c 24.7657
_cell_angle_alpha 90.00
_cell_angle_beta 90.00
_cell_angle_gamma 120.00
_symmetry_space_group_name_H-M 'R -3 m'
_symmetry_Int_Tables_number 166
_symmetry_space_group_name_Hall '-R 3 2"'
loop_
_atom_site_label
_atom_site_type_symbol
_atom_site_fract_x
_atom_site_fract_y
_atom_site_fract_z
Nb1 Nb 0.0000 0.0000 0.0000
Ni1 Ni 0.0000 0.0000 0.5000
Br1 Br 0.0000 0.0000 0.1031
```